Below is crystalline NiP2Rh at its relaxed geometry, with properties calculated at the PBE level.

Theoretical density   6820 kg/m3
Relative energy among the computed polymorphs   0.000 eV/atom
D(E_F)   0.532 states/eV per atom
Energy of formation from the pure elements   -441 meV per atom
Space group   P-3m1, No. 164

a b c (Å): 3.4883 3.4883 5.1648
angles (deg): 90.00 90.00 60.00
Last column: nearest neighbours and their distance in Å.
Element x y z (fractional)
P (0.7083, 0.7083, 0.7715)  3 Ni 2.33-2.34, 3 Rh 2.45
P (0.0416, 0.0416, 0.2285)  3 Ni 2.33, 3 Rh 2.45-2.46
Ni (0.3747, 0.3747, 0.0000)  6 P 2.33-2.34, 2 Rh 2.58
Rh (0.3754, 0.3754, 0.5000)  6 P 2.45-2.46, 2 Ni 2.58

=====

Below is crystalline Ni2PRh at its relaxed geometry, with properties calculated at the PBE level.

Theoretical density   8589 kg/m3
D(E_F)   0.567 states/eV per atom
Energy of formation from the pure elements   -358 meV per atom
Space group   P1, No. 1

a b c (Å): 5.0777 5.0918 5.0997
angles (deg): 116.96 118.39 93.01
Last column: nearest neighbours and their distance in Å.
Element x y z (fractional)
Rh (0.3136, 0.6042, 0.7059)  2 P 2.30
Rh (0.2317, 0.1497, 0.0799)  2 P 2.24-2.36
P (0.2143, 0.1143, 0.6164)  4 Ni 2.21-2.32, 2 Rh 2.24-2.30
P (0.7931, 0.6979, 0.7672)  4 Ni 2.17-2.34, 2 Rh 2.30-2.36
Ni (0.6922, 0.2318, 0.7019)  2 P 2.24-2.25
Ni (0.2226, 0.7002, 0.2071)  2 P 2.21-2.26
Ni (0.7837, 0.1326, 0.2014)  2 P 2.25-2.34
Ni (0.7727, 0.6871, 0.3284)  2 P 2.17-2.32

=====

Below is crystalline Ni2PRh at its relaxed geometry, with properties calculated at the PBE level.

Theoretical density   8471 kg/m3
D(E_F)   1.031 states/eV per atom
Energy of formation from the pure elements   -333 meV per atom
Space group   C2, No. 5

a b c (Å): 6.5399 4.1207 8.4069
angles (deg): 90.00 119.59 90.00
Last column: nearest neighbours and their distance in Å.
Element x y z (fractional)
Rh (0.6813, 0.6425, 0.8225)  2 P 2.29-2.32
Rh (0.3187, 0.1425, 0.6775)  2 P 2.29-2.32
Rh (0.3187, 0.6425, 0.1775)  2 P 2.29-2.32
Rh (0.6813, 0.1425, 0.3225)  2 P 2.29-2.32
P (0.5000, 0.1438, 0.5000)  6 Ni 2.22-2.40, 2 Rh 2.32
P (0.0000, 0.4611, 0.5000)  4 Ni 2.20-2.24, 2 Rh 2.29
P (0.5000, 0.6438, 0.0000)  6 Ni 2.22-2.40, 2 Rh 2.32
P (0.0000, 0.9611, 0.0000)  4 Ni 2.20-2.24, 2 Rh 2.29
Ni (0.3031, 0.6456, 0.4812)  3 P 2.20-2.40, 1 Ni 2.43
Ni (0.6969, 0.1456, 0.0188)  3 P 2.20-2.40, 1 Ni 2.43
Ni (0.1247, 0.6470, 0.7839)  2 P 2.22-2.24
Ni (0.8753, 0.6470, 0.2161)  2 P 2.22-2.24
Ni (0.8753, 0.1470, 0.7161)  2 P 2.22-2.24
Ni (0.1247, 0.1470, 0.2839)  2 P 2.22-2.24
Ni (0.3031, 0.1456, 0.9812)  3 P 2.20-2.40, 1 Ni 2.43
Ni (0.6969, 0.6456, 0.5188)  3 P 2.20-2.40, 1 Ni 2.43

=====

Below is crystalline NiPRh4 at its relaxed geometry, with properties calculated at the PBE level.

Theoretical density   8971 kg/m3
D(E_F)   2.000 states/eV per atom
Energy of formation from the pure elements   625 meV per atom
Space group   F-43m, No. 216

a b c (Å): 5.0817 5.0817 5.0817
angles (deg): 60.00 60.00 60.00
Last column: nearest neighbours and their distance in Å.
Element x y z (fractional)
Ni (0.7500, 0.7500, 0.7500)  12 Rh 2.98, 4 P 3.11
Rh (0.3751, 0.3751, 0.8748)  6 Rh 2.54
Rh (0.3751, 0.3751, 0.3751)  6 Rh 2.54
Rh (0.3751, 0.8748, 0.3751)  6 Rh 2.54
Rh (0.8748, 0.3751, 0.3751)  6 Rh 2.54
P (0.0000, 0.0000, 0.0000)  12 Rh 2.98, 4 Ni 3.11

=====

Below is crystalline Ni2PRh at its relaxed geometry, with properties calculated at the PBE level.

Theoretical density   8597 kg/m3
D(E_F)   1.302 states/eV per atom
Energy of formation from the pure elements   -214 meV per atom
Space group   P2/m, No. 10

a b c (Å): 3.6985 2.8247 4.8472
angles (deg): 73.42 90.00 90.00
Last column: nearest neighbours and their distance in Å.
Element x y z (fractional)
P (0.5000, 0.5000, 0.0000)  4 Ni 2.23, 2 Rh 2.42
Ni (0.0000, 0.1391, 0.2208)  2 P 2.23, 2 Ni 2.48-2.50
Ni (0.0000, 0.8609, 0.7792)  2 P 2.23, 2 Ni 2.48-2.50
Rh (0.5000, 0.5000, 0.5000)  2 P 2.42, 8 Ni 2.66-2.67

=====

Below is crystalline Ni2PRh at its relaxed geometry, with properties calculated at the PBE level.

Theoretical density   8528 kg/m3
D(E_F)   0.825 states/eV per atom
Energy of formation from the pure elements   -383 meV per atom
Space group   I2_12_12_1, No. 24

a b c (Å): 4.4959 8.0627 5.3986
angles (deg): 90.00 90.00 90.00
Last column: nearest neighbours and their distance in Å.
Element x y z (fractional)
P (0.0000, 0.7500, 0.7751)  5 Ni 2.19-2.38, 2 Rh 2.28
P (0.5000, 0.7500, 0.2249)  5 Ni 2.19-2.38, 2 Rh 2.28
P (0.5000, 0.2500, 0.2751)  5 Ni 2.19-2.38, 2 Rh 2.28
P (0.0000, 0.2500, 0.7249)  5 Ni 2.19-2.38, 2 Rh 2.28
Rh (0.7500, 0.9447, 0.0000)  2 P 2.28
Rh (0.7500, 0.0553, 0.5000)  2 P 2.28
Rh (0.2500, 0.4447, 0.5000)  2 P 2.28
Rh (0.2500, 0.5553, 0.0000)  2 P 2.28
Ni (0.0000, 0.2500, 0.1297)  3 P 2.19-2.38, 2 Ni 2.43
Ni (0.2647, 0.0000, 0.2500)  2 P 2.28, 2 Ni 2.43
Ni (0.5000, 0.7500, 0.6297)  3 P 2.19-2.38, 2 Ni 2.43
Ni (0.5000, 0.2500, 0.8703)  3 P 2.19-2.38, 2 Ni 2.43
Ni (0.2353, 0.0000, 0.7500)  2 P 2.28, 2 Ni 2.43
Ni (0.7353, 0.5000, 0.2500)  2 P 2.28, 2 Ni 2.43
Ni (0.0000, 0.7500, 0.3703)  3 P 2.19-2.38, 2 Ni 2.43
Ni (0.7647, 0.5000, 0.7500)  2 P 2.28, 2 Ni 2.43

=====

Below is crystalline Ni2P2Rh at its relaxed geometry, with properties calculated at the PBE level.

Theoretical density   7653 kg/m3
D(E_F)   0.481 states/eV per atom
Energy of formation from the pure elements   -355 meV per atom
Space group   P4/mbm, No. 127

a b c (Å): 6.1843 6.1843 3.2024
angles (deg): 90.00 90.00 90.00
Last column: nearest neighbours and their distance in Å.
Element x y z (fractional)
P (0.8566, 0.6434, 0.0000)  2 Rh 2.38, 6 Ni 2.38-2.47, 1 P 2.51
P (0.3566, 0.8566, 0.0000)  2 Rh 2.38, 6 Ni 2.38-2.47, 1 P 2.51
P (0.1434, 0.3566, 0.0000)  2 Rh 2.38, 6 Ni 2.38-2.47, 1 P 2.51
P (0.6434, 0.1434, 0.0000)  2 Rh 2.38, 6 Ni 2.38-2.47, 1 P 2.51
Ni (0.8579, 0.3579, 0.5000)  6 P 2.38-2.47, 1 Ni 2.49
Ni (0.6421, 0.8579, 0.5000)  6 P 2.38-2.47, 1 Ni 2.49
Ni (0.3579, 0.1421, 0.5000)  6 P 2.38-2.47, 1 Ni 2.49
Ni (0.1421, 0.6421, 0.5000)  6 P 2.38-2.47, 1 Ni 2.49
Rh (0.5000, 0.5000, 0.0000)  4 P 2.38
Rh (0.0000, 0.0000, 0.0000)  4 P 2.38

=====

Below is crystalline NiP2Rh at its relaxed geometry, with properties calculated at the PBE level.

Theoretical density   7108 kg/m3
Relative energy among the computed polymorphs   0.704 eV/atom
D(E_F)   1.321 states/eV per atom
Energy of formation from the pure elements   262 meV per atom
Space group   F-43m, No. 216

a b c (Å): 4.1957 4.1957 4.1957
angles (deg): 60.00 60.00 60.00
Last column: nearest neighbours and their distance in Å.
Element x y z (fractional)
P (0.2500, 0.2500, 0.2500)  4 Ni 2.57, 4 P 2.57
P (0.0000, 0.0000, 0.0000)  4 P 2.57, 4 Rh 2.57
Ni (0.5000, 0.5000, 0.5000)  4 Rh 2.57, 4 P 2.57
Rh (0.7500, 0.7500, 0.7500)  4 Ni 2.57, 4 P 2.57

=====

Below is crystalline NiPRh at its relaxed geometry, with properties calculated at the PBE level.

Theoretical density   8037 kg/m3
D(E_F)   0.538 states/eV per atom
Energy of formation from the pure elements   -614 meV per atom
Space group   F-43m, No. 216

a b c (Å): 3.8320 3.8320 3.8320
angles (deg): 60.00 60.00 60.00
Last column: nearest neighbours and their distance in Å.
Element x y z (fractional)
Ni (0.5000, 0.5000, 0.5000)  4 P 2.35
P (0.7500, 0.7500, 0.7500)  4 Ni 2.35, 4 Rh 2.35
Rh (0.0000, 0.0000, 0.0000)  4 P 2.35

=====

Below is crystalline NiPRh at its relaxed geometry, with properties calculated at the PBE level.

Theoretical density   8767 kg/m3
D(E_F)   0.477 states/eV per atom
Energy of formation from the pure elements   -592 meV per atom
Space group   P-62m, No. 189

a b c (Å): 5.9839 5.9840 3.5288
angles (deg): 90.00 90.00 120.00
Last column: nearest neighbours and their distance in Å.
Element x y z (fractional)
Ni (0.2591, 0.2591, 0.0000)  4 P 2.25-2.35
Ni (0.0000, 0.7409, 0.0000)  4 P 2.25-2.35
Ni (0.7409, 0.0000, 0.0000)  4 P 2.25-2.35
Rh (0.0000, 0.3906, 0.5000)  5 P 2.34-2.55
Rh (0.3907, 0.0000, 0.5000)  5 P 2.34-2.55
Rh (0.6093, 0.6094, 0.5000)  5 P 2.34-2.55
P (0.0000, 0.0000, 0.5000)  3 Rh 2.34, 6 Ni 2.35
P (0.3333, 0.6667, 0.0000)  3 Ni 2.25
P (0.6667, 0.3333, 0.0000)  3 Ni 2.25